1.
Below is an optimized crystal structure of Ho7Er3, with properties calculated at the PBE level.

Cell and atoms, written as CIF:
```
data_Ho7Er3
_chemical_formula_sum 'Ho14 Er6'
_symmetry_space_group_name_H-M 'C 1 2/m 1'
_symmetry_Int_Tables_number 12
_symmetry_space_group_name_Hall '-C 2y'
_cell_length_a 17.8816
_cell_length_b 4.9527
_cell_length_c 7.0346
_cell_angle_alpha 90.00
_cell_angle_beta 101.31
_cell_angle_gamma 90.00
loop_
_atom_site_label
_atom_site_type_symbol
_atom_site_fract_x
_atom_site_fract_y
_atom_site_fract_z
Ho1 Ho 0.0000 0.0000 0.0000
Ho2 Ho 0.1000 0.5000 0.3000
Ho3 Ho 0.1001 0.5000 0.8002
Ho4 Ho 0.2000 0.0000 0.6001
Er1 Er 0.0000 0.0000 0.5000
Er2 Er 0.2001 0.0000 0.1000
```

Properties
Calculated formation energy, eV/atom: 0.018
Mass density, g cm⁻³: 9.00
Energy above the most stable polymorph in this dataset, meV per atom: 0



2.
Below is an optimized crystal structure of HoEr4, with properties calculated at the PBE level.

Cell and atoms, written as CIF:
```
data_HoEr4
_chemical_formula_sum 'Ho1 Er4'
_symmetry_space_group_name_H-M 'P m -3 m'
_symmetry_Int_Tables_number 221
_symmetry_space_group_name_Hall '-P 4 2 3'
_cell_length_a 5.5626
_cell_length_b 5.5626
_cell_length_c 5.5626
_cell_angle_alpha 90.00
_cell_angle_beta 90.00
_cell_angle_gamma 90.00
loop_
_atom_site_label
_atom_site_type_symbol
_atom_site_fract_x
_atom_site_fract_y
_atom_site_fract_z
Ho1 Ho 0.0000 0.0000 0.0000
Er1 Er 0.0000 0.0000 0.5000
Er2 Er 0.5000 0.5000 0.5000
```

Properties
Calculated formation energy, eV/atom: 0.752
Mass density, g cm⁻³: 8.05
Energy above the most stable polymorph in this dataset, meV per atom: 728



Please write out number 2 again, unchanged.
Below is an optimized crystal structure of HoEr4, with properties calculated at the PBE level.

Cell and atoms, written as CIF:
```
data_HoEr4
_chemical_formula_sum 'Ho1 Er4'
_symmetry_space_group_name_H-M 'P m -3 m'
_symmetry_Int_Tables_number 221
_symmetry_space_group_name_Hall '-P 4 2 3'
_cell_length_a 5.5626
_cell_length_b 5.5626
_cell_length_c 5.5626
_cell_angle_alpha 90.00
_cell_angle_beta 90.00
_cell_angle_gamma 90.00
loop_
_atom_site_label
_atom_site_type_symbol
_atom_site_fract_x
_atom_site_fract_y
_atom_site_fract_z
Ho1 Ho 0.0000 0.0000 0.0000
Er1 Er 0.0000 0.0000 0.5000
Er2 Er 0.5000 0.5000 0.5000
```

Properties
Calculated formation energy, eV/atom: 0.752
Mass density, g cm⁻³: 8.05
Energy above the most stable polymorph in this dataset, meV per atom: 728



The highest calculated formation energy belongs to which entry?
HoEr4